# 1
A plane-wave DFT calculation with PBE was carried out for an optimized crystal structure of NiAg3Ir.

Lattice parameters (Å, degrees): 4.6266 4.6266 4.6266 90.00 90.00 90.00
Closest atoms and distances in Å follow each position.
Sites, in units of the cell vectors:
Ag  0.0000  0.5000  0.0000  2 Ni 2.31
Ag  0.5000  0.0000  0.0000  2 Ni 2.31
Ag  0.0000  0.0000  0.5000  2 Ni 2.31
Ni  0.0000  0.0000  0.0000  6 Ag 2.31
Ir  0.5000  0.5000  0.5000  12 Ag 3.27

Output
Space group   Pm-3m (221)
Energy above the most stable polymorph in this dataset   0.000 eV per atom
Final energy   -3.246 eV/atom


# 2
A plane-wave DFT calculation with PBE was carried out for an optimized crystal structure of NiAgIr2.

Lattice parameters (Å, degrees): 7.2240 7.2240 5.6705 50.43 50.43 90.00
Closest atoms and distances in Å follow each position.
Sites, in units of the cell vectors:
Ag  0.0000  0.0000  0.0000  2 Ni 2.46
Ag  0.7500  0.2500  0.5000  2 Ni 2.46
Ir  0.1770  0.6250  0.2500  2 Ni 2.38, 2 Ir 2.57
Ir  0.8750  0.8230  0.7500  2 Ni 2.38, 2 Ir 2.57
Ir  0.5730  0.1250  0.2500  2 Ni 2.38, 2 Ir 2.57
Ir  0.3750  0.4270  0.7500  2 Ni 2.38, 2 Ir 2.57
Ni  0.2500  0.7500  0.5000  4 Ir 2.38, 2 Ag 2.46
Ni  0.5000  0.5000  0.0000  4 Ir 2.38, 2 Ag 2.46

Output
Space group   I-42d (122)
Energy above the most stable polymorph in this dataset   0.571 eV per atom
Final energy   -5.849 eV/atom


# 3
A plane-wave DFT calculation with PBE was carried out for an optimized crystal structure of NiAg3Ir.

Lattice parameters (Å, degrees): 5.0303 5.0303 5.0303 90.00 90.00 90.00
Closest atoms and distances in Å follow each position.
Sites, in units of the cell vectors:
Ag  0.0000  0.0000  0.5000  2 Ir 2.52
Ag  0.5000  0.0000  0.0000  2 Ir 2.52
Ag  0.0000  0.5000  0.0000  2 Ir 2.52
Ir  0.0000  0.0000  0.0000  6 Ag 2.52
Ni  0.5000  0.5000  0.5000  12 Ag 3.56

Output
Space group   Pm-3m (221)
Energy above the most stable polymorph in this dataset   0.245 eV per atom
Final energy   -3.001 eV/atom


# 4
A plane-wave DFT calculation with PBE was carried out for an optimized crystal structure of NiAgIr2.

Lattice parameters (Å, degrees): 4.3433 4.3433 4.3433 60.00 60.00 60.00
Closest atoms and distances in Å follow each position.
Sites, in units of the cell vectors:
Ir  0.7500  0.7500  0.7500  4 Ag 2.66, 4 Ni 2.66
Ir  0.2500  0.2500  0.2500  4 Ag 2.66, 4 Ni 2.66
Ni  0.0000  0.0000  0.0000  8 Ir 2.66
Ag  0.5000  0.5000  0.5000  8 Ir 2.66

Output
Space group   Fm-3m (225)
Energy above the most stable polymorph in this dataset   0.425 eV per atom
Final energy   -5.995 eV/atom


# 5
A plane-wave DFT calculation with PBE was carried out for an optimized crystal structure of NiAgIr.

Lattice parameters (Å, degrees): 2.7389 2.7389 6.7003 90.00 90.00 120.00
Closest atoms and distances in Å follow each position.
Sites, in units of the cell vectors:
Ni  0.6667  0.3333  0.6534  3 Ir 2.53, 6 Ni 2.74, 3 Ag 2.75
Ir  0.3333  0.6667  0.3581  3 Ni 2.53, 6 Ir 2.74
Ag  0.0000  0.0000  0.9884  6 Ag 2.74, 3 Ni 2.75, 3 Ir 2.94

Output
Space group   P3m1 (156)
Energy above the most stable polymorph in this dataset   0.131 eV per atom
Final energy   -5.610 eV/atom


# 6
A plane-wave DFT calculation with PBE was carried out for an optimized crystal structure of NiAgIr3.

Lattice parameters (Å, degrees): 4.7831 4.7831 4.7831 90.00 90.00 90.00
Closest atoms and distances in Å follow each position.
Sites, in units of the cell vectors:
Ir  0.0000  0.5000  0.0000  2 Ag 2.39
Ir  0.0000  0.0000  0.5000  2 Ag 2.39
Ir  0.5000  0.0000  0.0000  2 Ag 2.39
Ni  0.5000  0.5000  0.5000  12 Ir 3.38
Ag  0.0000  0.0000  0.0000  6 Ir 2.39

Output
Space group   Pm-3m (221)
Energy above the most stable polymorph in this dataset   1.190 eV per atom
Final energy   -4.335 eV/atom


Values for ΔE_f, eV/atom, ordered as above
1.3935 0.7401 1.6384 0.5939 0.2215 2.7083